Below is a geometry-optimized Dy6VO12 structure, with properties calculated at the GGA+U level.

Calculated values
V = 766 Å³/cell
magnetic moment = 1.15 μB per formula unit
total energy = -463.745 eV/cell

abc: 9.7375 9.7375 9.3255
angles: 90.00 90.00 120.00
Last column: nearest neighbours and their distance in Å.
Space group R-3 (No. 148, hexagonal axes)
One atom of each set of equivalent atoms:
Dy: 0.0518 0.2626 0.1501 (multiplicity 18)  6 O 2.21-2.38
V: 0.0000 0.0000 0.5000 (multiplicity 3)  6 O 1.94
O: 0.0381 0.2247 0.9022 (multiplicity 18)  4 Dy 2.21-2.33
O: 0.0417 0.1863 0.3907 (multiplicity 18)  1 V 1.94